# 1
This record from Alexandria via LeMat-Bulk describes a relaxed structure of KIrC2. The functional is GGA-PBEsol.

## Properties
E_tot: -108.728 eV per cell
density: 5.44 Mg/m³
E_form: 766 meV per atom
SG: No. 141

Cell: 5.5301 5.5301 10.1976 Å, 90.00 90.00 90.00°
Positions (direct):
K 0.0000 0.2500 0.3750
K 0.0000 0.7500 0.6250
K 0.5000 0.2500 0.1250
K 0.5000 0.7500 0.8750
Ir 0.0000 0.2500 0.8750
Ir 0.0000 0.7500 0.1250
Ir 0.5000 0.2500 0.6250
Ir 0.5000 0.7500 0.3750
C 0.0000 0.0000 0.0000
C 0.0000 0.5000 0.0000
C 0.2500 0.2500 0.7500
C 0.2500 0.7500 0.2500
C 0.5000 0.0000 0.5000
C 0.5000 0.5000 0.5000
C 0.7500 0.2500 0.7500
C 0.7500 0.7500 0.2500

***

# 2
This record from Alexandria via LeMat-Bulk describes a relaxed structure of KIrOsC2. The functional is GGA-PBEsol.

## Properties
E_tot: -19.738 eV per cell
density: 9.61 Mg/m³
E_form: 4544 meV per atom
SG: No. 123

Cell: 4.0280 4.0280 4.7464 Å, 90.00 90.00 90.00°
Positions (direct):
K 0.0000 0.0000 0.0000
Ir 0.0000 0.0000 0.5000
Os 0.5000 0.5000 0.5000
C 0.0000 0.5000 0.0000
C 0.5000 0.0000 0.0000

***

# 3
This record from Alexandria via LeMat-Bulk describes a relaxed structure of La2IrC. The functional is GGA-PBEsol.

## Properties
E_tot: -117.338 eV per cell
density: 8.81 Mg/m³
E_form: 206 meV per atom
SG: No. 122

Cell: 6.9487 6.9487 7.5293 Å, 90.00 90.00 90.00°
Positions (direct):
La 0.2146 0.2500 0.1250
La 0.2500 0.7146 0.3750
La 0.2500 0.7854 0.8750
La 0.2854 0.2500 0.6250
La 0.7146 0.7500 0.6250
La 0.7500 0.2146 0.8750
La 0.7500 0.2854 0.3750
La 0.7854 0.7500 0.1250
Ir 0.0000 0.0000 0.5000
Ir 0.0000 0.5000 0.7500
Ir 0.5000 0.0000 0.2500
Ir 0.5000 0.5000 0.0000
C 0.0000 0.0000 0.0000
C 0.0000 0.5000 0.2500
C 0.5000 0.0000 0.7500
C 0.5000 0.5000 0.5000

***

# 4
This record from Alexandria via LeMat-Bulk describes a relaxed structure of Sr2LaIrC. The functional is GGA-PBEsol.

## Properties
E_tot: -26.584 eV per cell
density: 6.80 Mg/m³
E_form: 382 meV per atom
SG: No. 123

Cell: 5.1898 5.1898 4.7031 Å, 90.00 90.00 90.00°
Positions (direct):
Sr 0.0000 0.5000 0.0000
Sr 0.5000 0.0000 0.0000
La 0.0000 0.0000 0.5000
Ir 0.5000 0.5000 0.5000
C 0.0000 0.0000 0.0000

***

# 5
This record from Alexandria via LeMat-Bulk describes a relaxed structure of LiIrCO2. The functional is GGA-PBEsol.

## Properties
uncorrected formation energy: 6.1 eV per formula unit
E_tot: -25.864 eV per cell
density: 9.43 Mg/m³
SG: No. 123

Cell: 3.3799 3.3799 3.7491 Å, 90.00 90.00 90.00°
Positions (direct):
Li 0.0000 0.0000 0.0000
Ir 0.5000 0.5000 0.5000
C 0.0000 0.0000 0.5000
O 0.0000 0.5000 0.0000
O 0.5000 0.0000 0.0000

***

# 6
This record from Alexandria via LeMat-Bulk describes a relaxed structure of MgZrIr2C. The functional is GGA-PBEsol.

## Properties
E_tot: -26.464 eV per cell
density: 6.92 Mg/m³
E_form: 2727 meV per atom
SG: No. 123

Cell: 4.7226 4.7226 5.5083 Å, 90.00 90.00 90.00°
Positions (direct):
Mg 0.0000 0.0000 0.0000
Zr 0.0000 0.0000 0.5000
Ir 0.0000 0.5000 0.5000
Ir 0.5000 0.0000 0.5000
C 0.5000 0.5000 0.0000

***

# 7
This record from Alexandria via LeMat-Bulk describes a relaxed structure of MnIrC3. The functional is GGA-PBEsol.

## Properties
E_tot: -37.833 eV per cell
density: 9.42 Mg/m³
E_form: 2137 meV per atom
SG: No. 221

Cell: 3.6821 3.6821 3.6821 Å, 90.00 90.00 90.00°
Positions (direct):
Mn 0.0000 0.0000 0.0000
Ir 0.5000 0.5000 0.5000
C 0.0000 0.0000 0.5000
C 0.0000 0.5000 0.0000
C 0.5000 0.0000 0.0000

***

# 8
This record from Alexandria via LeMat-Bulk describes a relaxed structure of MoIr3C. The functional is GGA-PBEsol.

## Properties
E_tot: -34.958 eV per cell
density: 11.47 Mg/m³
E_form: 3185 meV per atom
SG: No. 221

Cell: 4.6273 4.6273 4.6273 Å, 90.00 90.00 90.00°
Positions (direct):
Mo 0.0000 0.0000 0.0000
Ir 0.0000 0.0000 0.5000
Ir 0.0000 0.5000 0.0000
Ir 0.5000 0.0000 0.0000
C 0.5000 0.5000 0.5000

***

no.,total magnetic moment (μB per cell)
1,0.00
2,2.02
3,3.47
4,0.00
5,0.00
6,1.35
7,0.50
8,0.00